(1)
Here is a relaxed Tb8Dy3Mg crystal from Alexandria via LeMat-Bulk. Energies are from GGA-PBE.

Structure (POSCAR):
```
Tb8Dy3Mg
1.0
8.7840 0.0000 0.0000
0.0000 3.5799 0.0000
-2.8345 0.0000 11.9126
Tb Dy Mg
8 3 1
Cartesian
0.0000 0.0000 0.0000
-1.3849 0.0000 5.8216
-2.0995 1.7900 8.9082
0.8601 0.0000 8.5868
1.6236 1.7900 5.6322
4.7459 1.7900 4.2901
4.1740 0.0000 7.2673
5.5955 0.0000 1.3539
2.2154 0.0000 2.6582
0.1851 1.7900 11.6119
3.4154 1.7900 10.2540
-0.6947 1.7900 2.9545
```

Calculated values
Formation energy (meV per atom): 2
Volume (Å³ per atom): 31.2

---

(2)
Here is a relaxed LiPu4 crystal from Alexandria via LeMat-Bulk. Energies are from GGA-PBE.

Structure (POSCAR):
```
LiPu4
1.0
5.2360 0.0000 0.0000
0.0000 5.2360 0.0000
0.0000 0.0000 5.2360
Li Pu
1 4
Cartesian
0.0000 0.0000 0.0000
0.0000 0.0000 2.6180
0.0000 2.6180 0.0000
2.6180 0.0000 0.0000
2.6180 2.6180 2.6180
```

Calculated values
Formation energy (meV per atom): 793
Volume (Å³ per atom): 28.7

---

(3)
Here is a relaxed HfOsSe2N crystal from Alexandria via LeMat-Bulk. Energies are from GGA-PBE.

Structure (POSCAR):
```
HfOsSe2N
1.0
5.0672 0.0000 0.0000
0.0000 5.0672 0.0000
0.0000 0.0000 3.6654
Hf Os Se N
1 1 2 1
Cartesian
0.0000 0.0000 0.0000
2.5336 2.5336 1.8327
0.0000 2.5336 1.8327
2.5336 0.0000 1.8327
2.5336 2.5336 0.0000
```

Calculated values
Polymorph energy (0 for the lowest one) (kJ/mol of atoms): 0.00
Volume (Å³ per atom): 18.8